[1]
The following is a PBE calculation of crystalline Pu2AlZn at its relaxed geometry, from the Alexandria database. Values from VASP.

## Properties
energy relative to the elements: -118 meV per atom
symmetry: No. 65

Cell and atoms, written as Quantum ESPRESSO input:
```
&SYSTEM
  ibrav = 0, nat = 4, ntyp = 3
/
ATOMIC_SPECIES
Pu 244.00 Pu.upf
Al 26.98 Al.upf
Zn 65.41 Zn.upf
CELL_PARAMETERS angstrom
2.981 -4.636 0.000
2.981 4.636 0.000
0.000 0.000 3.023
ATOMIC_POSITIONS crystal
Pu 0.000 0.500 0.000
Pu 0.500 0.000 0.000
Al 0.000 0.000 0.500
Zn 0.500 0.500 0.500
```

[2]
The following is a PBE calculation of crystalline PuAl2Zn2 at its relaxed geometry, from the Alexandria database. Values from VASP.

## Properties
energy relative to the elements: -53 meV per atom
symmetry: No. 15

Cell and atoms, written as Quantum ESPRESSO input:
```
&SYSTEM
  ibrav = 0, nat = 10, ntyp = 3
/
ATOMIC_SPECIES
Pu 244.00 Pu.upf
Al 26.98 Al.upf
Zn 65.41 Zn.upf
CELL_PARAMETERS angstrom
2.918 -5.276 0.000
2.918 5.276 0.000
-2.907 0.000 6.498
ATOMIC_POSITIONS crystal
Pu 0.125 0.875 0.750
Pu 0.875 0.125 0.250
Al 0.273 0.524 0.048
Al 0.476 0.727 0.452
Al 0.524 0.273 0.548
Al 0.727 0.476 0.952
Zn 0.163 0.837 0.250
Zn 0.413 0.587 0.750
Zn 0.587 0.413 0.250
Zn 0.837 0.163 0.750
```

[3]
The following is a PBE calculation of crystalline PuAl5Zn2 at its relaxed geometry, from the Alexandria database. Values from VASP.

## Properties
energy relative to the elements: -130 meV per atom
symmetry: No. 12

Cell and atoms, written as Quantum ESPRESSO input:
```
&SYSTEM
  ibrav = 0, nat = 8, ntyp = 3
/
ATOMIC_SPECIES
Pu 244.00 Pu.upf
Al 26.98 Al.upf
Zn 65.41 Zn.upf
CELL_PARAMETERS angstrom
3.035 -3.042 0.000
3.035 3.042 0.000
-3.017 0.000 7.560
ATOMIC_POSITIONS crystal
Pu 0.000 0.000 0.000
Al 0.136 0.636 0.273
Al 0.364 0.864 0.727
Al 0.500 0.500 0.000
Al 0.636 0.136 0.273
Al 0.864 0.364 0.727
Zn 0.241 0.241 0.482
Zn 0.759 0.759 0.518
```

[4]
The following is a PBE calculation of crystalline Pu3Al7Zn2 at its relaxed geometry, from the Alexandria database. Values from VASP.

## Properties
energy relative to the elements: -276 meV per atom
symmetry: No. 166

Cell and atoms, written as Quantum ESPRESSO input:
```
&SYSTEM
  ibrav = 0, nat = 12, ntyp = 3
/
ATOMIC_SPECIES
Pu 244.00 Pu.upf
Al 26.98 Al.upf
Zn 65.41 Zn.upf
CELL_PARAMETERS angstrom
2.756 1.591 8.695
-2.756 1.591 8.695
0.000 -3.182 8.695
ATOMIC_POSITIONS crystal
Pu 0.000 0.000 0.000
Pu 0.143 0.143 0.143
Pu 0.857 0.857 0.857
Al 0.076 0.585 0.585
Al 0.415 0.415 0.924
Al 0.415 0.924 0.415
Al 0.500 0.500 0.500
Al 0.585 0.076 0.585
Al 0.585 0.585 0.076
Al 0.924 0.415 0.415
Zn 0.335 0.335 0.335
Zn 0.665 0.665 0.665
```

[5]
The following is a PBE calculation of crystalline PuAl2Zn6 at its relaxed geometry, from the Alexandria database. Values from VASP.

## Properties
energy relative to the elements: 436 meV per atom
symmetry: No. 227
energy above the most stable polymorph in this dataset: 9.98 kcal/mol of atoms

Cell and atoms, written as Quantum ESPRESSO input:
```
&SYSTEM
  ibrav = 0, nat = 18, ntyp = 3
/
ATOMIC_SPECIES
Pu 244.00 Pu.upf
Al 26.98 Al.upf
Zn 65.41 Zn.upf
CELL_PARAMETERS angstrom
0.000 5.873 5.873
5.873 0.000 5.873
5.873 5.873 0.000
ATOMIC_POSITIONS crystal
Pu 0.125 0.125 0.125
Pu 0.875 0.875 0.875
Al 0.000 0.500 0.500
Al 0.500 0.000 0.500
Al 0.500 0.500 0.000
Al 0.500 0.500 0.500
Zn 0.127 0.127 0.623
Zn 0.127 0.623 0.127
Zn 0.127 0.623 0.623
Zn 0.377 0.377 0.873
Zn 0.377 0.873 0.377
Zn 0.377 0.873 0.873
Zn 0.623 0.127 0.127
Zn 0.623 0.127 0.623
Zn 0.623 0.623 0.127
Zn 0.873 0.377 0.377
Zn 0.873 0.377 0.873
Zn 0.873 0.873 0.377
```

[6]
The following is a PBE calculation of crystalline PuAl5Zn2 at its relaxed geometry, from the Alexandria database. Values from VASP.

## Properties
energy relative to the elements: -101 meV per atom
symmetry: No. 71

Cell and atoms, written as Quantum ESPRESSO input:
```
&SYSTEM
  ibrav = 0, nat = 8, ntyp = 3
/
ATOMIC_SPECIES
Pu 244.00 Pu.upf
Al 26.98 Al.upf
Zn 65.41 Zn.upf
CELL_PARAMETERS angstrom
-2.009 3.666 4.947
2.009 -3.666 4.947
2.009 3.666 -4.947
ATOMIC_POSITIONS crystal
Pu 0.000 0.000 0.000
Al 0.171 0.359 0.812
Al 0.453 0.641 0.812
Al 0.500 0.000 0.500
Al 0.547 0.359 0.188
Al 0.829 0.641 0.188
Zn 0.242 0.742 0.500
Zn 0.758 0.258 0.500
```